No. 1
Entry from the Alexandria database: a geometry-optimized MgHg3 structure (GGA-PBE).

Summary:
SG ... I4/mmm, No. 139
Total magnetization ... 0.00 Bohr magnetons per cell
Energy of formation ... -65 meV/atom

Cell: 9.702 9.702 9.702 Å, 152.86 152.86 38.76°
Atoms (fractional coordinates):
1 Mg 0.123 0.123 0.000
2 Mg 0.877 0.877 0.000
3 Hg 0.000 0.500 0.500
4 Hg 0.250 0.750 0.500
5 Hg 0.376 0.376 0.000
6 Hg 0.500 0.000 0.500
7 Hg 0.624 0.624 0.000
8 Hg 0.750 0.250 0.500



No. 2
Entry from the Alexandria database: a geometry-optimized Mg5Hg structure (GGA-PBE).

Summary:
SG ... P-62m, No. 189
Total magnetization ... 0.00 Bohr magnetons per cell
Energy of formation ... -81 meV/atom

Cell: 5.464 5.464 5.077 Å, 90.00 90.00 120.00°
Atoms (fractional coordinates):
1 Mg 0.000 0.673 0.000
2 Mg 0.327 0.327 0.000
3 Mg 0.333 0.667 0.500
4 Mg 0.667 0.333 0.500
5 Mg 0.673 0.000 0.000
6 Hg 0.000 0.000 0.500



No. 3
Entry from the Alexandria database: a geometry-optimized MgHg structure (GGA-PBE).

Summary:
SG ... P6_3/mmc, No. 194
Total magnetization ... 0.00 Bohr magnetons per cell
Energy of formation ... -40 meV/atom

Cell: 5.006 5.006 8.620 Å, 90.00 90.00 120.00°
Atoms (fractional coordinates):
1 Mg 0.333 0.667 0.080
2 Mg 0.333 0.667 0.420
3 Mg 0.667 0.333 0.580
4 Mg 0.667 0.333 0.920
5 Hg 0.000 0.000 0.250
6 Hg 0.000 0.000 0.750
7 Hg 0.333 0.667 0.750
8 Hg 0.667 0.333 0.250